VASP calculation (PBE) on TcW5 after structural relaxation.

E above lowest polymorph	7	meV per atom
calculated total energy	-12.49	eV/atom
energy relative to the elements	0.031	eV/atom

Cell lengths 10.012, 3.170, 6.349 Å; angles 90.00, 108.61, 90.00 degrees
Space group C2/m (No. 12)
Symmetry-distinct sites (fractional):
Tc 0.000 0.000 0.000
W 0.000 0.000 0.500
W 0.167 0.500 0.334
W 0.168 0.500 0.834